(1)
The following is a PBE calculation of an optimized crystal structure of PrLuCdIn, from Alexandria.

a b c (Å): 5.3655 5.3655 5.3655
angles (deg): 60.00 60.00 60.00
Closest atoms and distances in Å follow each position.
Sites, in units of the cell vectors:
Pr 0.0000 0.0000 0.0000  4 Cd 3.29, 4 In 3.29
Lu 0.5000 0.5000 0.5000  4 In 3.29, 4 Cd 3.29
Cd 0.2500 0.2500 0.2500  4 Lu 3.29, 4 Pr 3.29
In 0.7500 0.7500 0.7500  4 Pr 3.29, 4 Lu 3.29

Output
The formation energy is -1.51 eV/f.u.

***

(2)
The following is a PBE calculation of an optimized crystal structure of Rb4BeOs2, from Alexandria.

a b c (Å): 9.4164 9.4164 9.4164
angles (deg): 138.01 138.01 60.88
Closest atoms and distances in Å follow each position.
Sites, in units of the cell vectors:
Rb 0.0000 0.5000 0.5000  2 Be 3.37, 4 Os 3.55
Rb 0.2128 0.2128 0.0000  1 Be 3.46, 1 Os 3.54
Rb 0.5000 0.0000 0.5000  2 Be 3.37, 4 Os 3.55
Rb 0.7872 0.7872 0.0000  1 Be 3.46, 1 Os 3.54
Be 0.0000 0.0000 0.0000  6 Rb 3.37-3.46
Os 0.4310 0.4310 0.0000  1 Os 2.24
Os 0.5690 0.5690 0.0000  1 Os 2.24

Output
The formation energy is 10.90 eV/f.u.

***

(3)
The following is a PBE calculation of an optimized crystal structure of Cs2HgIrO4, from Alexandria.

a b c (Å): 12.4627 11.1131 7.4782
angles (deg): 81.66 61.92 36.42
Closest atoms and distances in Å follow each position.
Sites, in units of the cell vectors:
Cs 0.0575 0.0575 0.6925  2 O 2.91
Cs 0.3075 0.3075 0.9425  2 O 2.91
Cs 0.6925 0.6925 0.0575  2 O 2.91
Cs 0.9425 0.9425 0.3075  2 O 2.91
Hg 0.1250 0.1250 0.1250  4 O 2.51
Hg 0.8750 0.8750 0.8750  4 O 2.51
Ir 0.3750 0.3750 0.3750  4 O 1.86
Ir 0.6250 0.6250 0.6250  4 O 1.86
O 0.0688 0.6312 0.5011  1 Ir 1.86
O 0.2989 0.5011 0.6312  1 Ir 1.86
O 0.3688 0.9312 0.7011  1 Ir 1.86
O 0.4989 0.7011 0.9312  1 Ir 1.86
O 0.5011 0.2989 0.0688  1 Ir 1.86
O 0.6312 0.0688 0.2989  1 Ir 1.86
O 0.7011 0.4989 0.3688  1 Ir 1.86
O 0.9312 0.3688 0.4989  1 Ir 1.86

Output
The value obtained for the formation energy without anion corrections is -791.7 meV per atom.

***

(4)
The following is a PBE calculation of an optimized crystal structure of Er2ThAl, from Alexandria.

a b c (Å): 11.5802 11.5802 11.5802
angles (deg): 16.91 16.91 16.91
Closest atoms and distances in Å follow each position.
Sites, in units of the cell vectors:
Er 0.0997 0.0997 0.0997  3 Al 3.02
Er 0.9003 0.9003 0.9003  3 Al 3.02
Th 0.0000 0.0000 0.0000  6 Th 3.40, 2 Er 3.41
Al 0.5000 0.5000 0.5000  6 Er 3.02

Output
The calculation puts the energy above the lowest structure with this stoichiometry at 290 meV per atom. The formation energy is 0.40 eV/f.u.

***

(5)
The following is a PBE calculation of an optimized crystal structure of LaHoCuAu, from Alexandria.

a b c (Å): 4.5932 5.9232 5.9232
angles (deg): 37.82 90.00 90.00
Closest atoms and distances in Å follow each position.
Sites, in units of the cell vectors:
La 0.0000 0.0000 0.0000  4 Cu 3.08, 3 Au 3.13
Ho 0.5000 0.2765 0.2765  4 Au 3.06, 3 Cu 3.06-3.22
Cu 0.5000 0.5635 0.5635  2 Au 2.90, 3 Ho 3.06-3.22, 4 La 3.08
Au 0.0000 0.7211 0.7211  2 Cu 2.90, 4 Ho 3.06, 3 La 3.13

Output
The calculation puts the energy above the lowest structure with this stoichiometry at 0 meV per atom. The formation energy is -2.05 eV/f.u.

***

(6)
The following is a PBE calculation of an optimized crystal structure of BaSrFe, from Alexandria.

a b c (Å): 4.4649 4.4649 7.4114
angles (deg): 90.00 90.00 120.00
Closest atoms and distances in Å follow each position.
Sites, in units of the cell vectors:
Ba 0.0000 0.0000 0.0000  3 Fe 3.15
Sr 0.3333 0.6667 0.4839  3 Fe 3.13
Fe 0.6667 0.3333 0.2444  3 Sr 3.13, 3 Ba 3.15

Output
The calculation puts the energy above the lowest structure with this stoichiometry at 108 meV per atom. The formation energy is 1.98 eV/f.u.

***

(7)
The following is a PBE calculation of an optimized crystal structure of NaDyAgSb, from Alexandria.

a b c (Å): 5.1868 5.1868 5.1868
angles (deg): 60.00 60.00 60.00
Closest atoms and distances in Å follow each position.
Sites, in units of the cell vectors:
Na 0.0000 0.0000 0.0000  4 Sb 3.18, 4 Ag 3.18
Dy 0.5000 0.5000 0.5000  4 Ag 3.18, 4 Sb 3.18
Ag 0.7500 0.7500 0.7500  4 Dy 3.18, 4 Na 3.18
Sb 0.2500 0.2500 0.2500  4 Dy 3.18, 4 Na 3.18

Output
The value obtained for the formation energy without anion corrections is -442.9 meV per atom.

***

(8)
The following is a PBE calculation of an optimized crystal structure of PrSm2H, from Alexandria.

a b c (Å): 9.9290 9.9290 9.9290
angles (deg): 20.81 20.81 20.81
Closest atoms and distances in Å follow each position.
Sites, in units of the cell vectors:
Pr 0.0000 0.0000 0.0000  2 Sm 3.49, 6 Pr 3.59
Sm 0.1197 0.1197 0.1197  3 H 2.48
Sm 0.8803 0.8803 0.8803  3 H 2.48
H 0.5000 0.5000 0.5000  6 Sm 2.48

Output
The calculation puts the energy above the lowest structure with this stoichiometry at 112 meV per atom.

***

Record-wise total magnetic moment values, in μB/atom: 0.000, 0.579, 0.132, 0.000, 0.000, 0.728, 0.000, 0.000